(1)
Compound: Pm4Dy8Tm
Source: Alexandria
Functional: PBE
Structure: optimized geometry

Unit cell a=7.7814 b=7.7814 c=7.7814 alpha=90.08 beta=90.08 gamma=90.08
Atoms (fractional coordinates):
Pm 0.0000 0.0000 0.0000
Pm 0.0000 0.5000 0.5000
Pm 0.5000 0.0000 0.5000
Pm 0.5000 0.5000 0.0000
Dy 0.2402 0.2402 0.2402
Dy 0.2400 0.2400 0.7589
Dy 0.2400 0.7589 0.2400
Dy 0.2411 0.7600 0.7600
Dy 0.7589 0.2400 0.2400
Dy 0.7600 0.2411 0.7600
Dy 0.7600 0.7600 0.2411
Dy 0.7598 0.7598 0.7598
Tm 0.5000 0.5000 0.5000

Computed properties:
mass density = 7.22 Mg/m³
magnetization = 0.86 Bohr magnetons per cell


(2)
Compound: Pm3Nd2Ru2
Source: Alexandria
Functional: PBE
Structure: optimized geometry

Unit cell a=6.4753 b=6.4753 c=8.9861 alpha=113.57 beta=113.57 gamma=35.40
Atoms (fractional coordinates):
Pm 0.0000 0.0000 0.0000
Pm 0.1199 0.1199 0.4242
Pm 0.8801 0.8801 0.5758
Nd 0.3319 0.3319 0.1933
Nd 0.6681 0.6681 0.8067
Ru 0.3192 0.3192 0.7662
Ru 0.6808 0.6808 0.2338

Computed properties:
mass density = 7.76 Mg/m³
magnetization = 0.00 Bohr magnetons per cell


Formation enthalpy at 0 K in eV/atom, matching the order above: 0.5118; -0.2142